--- one ---
## VPdRu (PBE)

Data for a geometry-optimized VPdRu structure.

The density of states at the Fermi level comes out at 6.01 states/eV per cell.

It has space group P2_1/m (No. 11), with a = 3.605 Å, b = 3.870 Å, c = 6.341 Å, α = 90.00°, β = 106.55° and γ = 90.00°. The asymmetric unit holds V at (0.082, 0.250, 0.168), Pd at (0.253, 0.750, 0.505) and Ru at (0.418, 0.250, 0.839).

--- two ---
## VPdRu (PBE)

Data for a geometry-optimized VPdRu structure.

The density of states at the Fermi level comes out at 5.20 states/eV per cell.

It has space group P2/m (No. 10), with a = 4.501 Å, b = 2.921 Å, c = 6.578 Å, α = 90.00°, β = 97.94° and γ = 90.00°. The asymmetric unit holds V at (0.225, 0.000, 0.334), Pd at (0.000, 0.500, 0.000), Pd at (0.500, 0.000, 0.000) and Ru at (0.276, 0.500, 0.641).

Of the structures shown above, two is the most stable.